A plane-wave DFT calculation with PBE-GGA was carried out for Pm4Nd3Th after structural relaxation.

- ΔE to the lowest computed polymorph: 0 meV/atom
- ΔH_f (0 K): 0.1569 eV per atom

The structure in CIF format:
```
data_Pm4Nd3Th
_cell_length_a 23.779
_cell_length_b 3.510
_cell_length_c 6.977
_cell_angle_alpha 90.00
_cell_angle_beta 107.06
_cell_angle_gamma 90.00
_symmetry_space_group_name_H-M 'C 1 2/m 1'
_symmetry_Int_Tables_number 12
_symmetry_space_group_name_Hall '-C 2y'
loop_
_atom_site_label
_atom_site_type_symbol
_atom_site_fract_x
_atom_site_fract_y
_atom_site_fract_z
Pm1 Pm 0.123 0.000 0.386
Pm2 Pm 0.243 0.500 0.741
Nd1 Nd 0.000 0.000 0.000
Nd2 Nd 0.123 0.000 0.859
Th1 Th 0.000 0.500 0.500
```

---

A plane-wave DFT calculation with PBE-GGA was carried out for Y2TiHgO6 after structural relaxation.

- DFT total energy: -76.2 eV for the cell shown

The structure in CIF format:
```
data_Y2TiHgO6
_cell_length_a 5.304
_cell_length_b 5.304
_cell_length_c 5.371
_cell_angle_alpha 90.00
_cell_angle_beta 90.00
_cell_angle_gamma 90.00
_symmetry_space_group_name_H-M 'P 4 m m'
_symmetry_Int_Tables_number 99
_symmetry_space_group_name_Hall 'P 4 -2'
loop_
_atom_site_label
_atom_site_type_symbol
_atom_site_fract_x
_atom_site_fract_y
_atom_site_fract_z
Y1 Y 0.000 0.500 0.000
Ti1 Ti 0.000 0.000 0.628
Hg1 Hg 0.500 0.500 0.532
O1 O 0.000 0.000 0.285
O2 O 0.235 0.235 0.775
O3 O 0.500 0.500 0.144
```

---

A plane-wave DFT calculation with PBE-GGA was carried out for NbGa2Pt2 after structural relaxation.

- ΔE to the lowest computed polymorph: 65 meV/atom
- ΔH_f (0 K): -0.3956 eV per atom

The structure in CIF format:
```
data_NbGa2Pt2
_cell_length_a 7.563
_cell_length_b 7.563
_cell_length_c 2.816
_cell_angle_alpha 90.00
_cell_angle_beta 90.00
_cell_angle_gamma 90.00
_symmetry_space_group_name_H-M 'P 4/m b m'
_symmetry_Int_Tables_number 127
_symmetry_space_group_name_Hall '-P 4 2ab'
loop_
_atom_site_label
_atom_site_type_symbol
_atom_site_fract_x
_atom_site_fract_y
_atom_site_fract_z
Nb1 Nb 0.000 0.000 0.000
Ga1 Ga 0.165 0.335 0.500
Pt1 Pt 0.134 0.634 0.000
```

---

A plane-wave DFT calculation with PBE-GGA was carried out for Nd3ErS after structural relaxation.

- DFT total energy: -26.3 eV for the cell shown

The structure in CIF format:
```
data_Nd3ErS
_cell_length_a 5.487
_cell_length_b 5.487
_cell_length_c 5.487
_cell_angle_alpha 90.00
_cell_angle_beta 90.00
_cell_angle_gamma 90.00
_symmetry_space_group_name_H-M 'P m -3 m'
_symmetry_Int_Tables_number 221
_symmetry_space_group_name_Hall '-P 4 2 3'
loop_
_atom_site_label
_atom_site_type_symbol
_atom_site_fract_x
_atom_site_fract_y
_atom_site_fract_z
Nd1 Nd 0.000 0.000 0.500
Er1 Er 0.500 0.500 0.500
S1 S 0.000 0.000 0.000
```